Pr2SmC2I2: optimized geometry, PBE-GGA.

a b c (Å): 9.767 9.767 9.767
angles (deg): 152.64 152.64 39.08
Positions (direct):
Pr: 0.087 0.087 0.000
Pr: 0.913 0.913 0.000
Sm: 0.500 0.500 0.000
C: 0.000 0.500 0.500
C: 0.500 0.000 0.500
I: 0.323 0.323 0.000
I: 0.677 0.677 0.000

Properties
E_tot: -5.524 eV/atom
Raw formation energy: -9.37 kcal/mol of atoms